The following is a PBE-GGA calculation of a geometry-optimized La6Pr2NdTh structure, from Alexandria.

POSCAR file:
```
La6Pr2NdTh
1.0
-3.076 1.325 -8.733
-4.945 -4.805 1.013
-0.370 6.076 3.042
Th La Pr Nd
1 6 2 1
direct
0.000 0.500 0.000
0.809 0.435 0.396
0.586 0.375 0.749
0.191 0.565 0.604
0.809 0.961 0.396
0.414 0.625 0.251
0.191 0.039 0.604
0.828 0.927 0.854
0.172 0.073 0.146
0.500 0.000 0.000
```

- space-group type = No. 12
- spin magnetization (μB per cell) = 0.00
- final energy (Ry/atom) = -0.3638